DFT (GGA-PBE) results for a geometry-optimized Ho2InRh structure.

Cell lengths 3.7687, 3.7687, 25.1985 Å; angles 90.00, 90.00, 120.00 degrees
Space group R-3m (No. 166, hexagonal axes)
Symmetry-distinct sites (fractional):
Ho: 0.0000 0.0000 0.2338
In: 0.0000 0.0000 0.0000
Rh: 0.0000 0.0000 0.5000

Values from the calculation:
- Energy above the lowest structure with this stoichiometry: 0.155 eV/atom
- N(E_F): 0.57 states/eV/atom
- DFT formation energy: -0.540 eV per atom
- VASP energy: -21.4 eV/f.u.